The following is a GGA-PBE calculation of a geometry-optimized BaMn3Hg structure, from Alexandria via LeMat-Bulk.

Unit cell a=5.920 b=5.920 c=5.920 alpha=90.00 beta=90.00 gamma=90.00
Site moments in Bohr magnetons follow the coordinates.
Fractional positions:
1 Mn 0.000 0.500 0.000  4.15
2 Mn 0.000 0.000 0.500  3.82
3 Mn 0.500 0.000 0.000  4.46
4 Hg 0.500 0.500 0.500  0.04
5 Ba 0.000 0.000 0.000  -0.21

Summary:
space group = Pm-3m (221)
energy of formation = 1.87 eV per atom
energy above the most stable polymorph in this dataset = 1.107 eV per atom